A relaxed Np2Si3Os crystal. Source: Alexandria, functional GGA-PBE.

a = 5.395 Å, b = 5.395 Å, c = 5.873 Å
α = 121.07°, β = 121.07°, γ = 45.61°
Element x y z (fractional)
1 Np 0.000 0.000 0.000
2 Np 0.068 0.068 0.665
3 Si 0.341 0.341 0.584
4 Si 0.682 0.682 0.455
5 Si 0.735 0.735 0.087
6 Os 0.388 0.388 0.210

Properties
For the raw formation energy, the calculation gives -305 meV per atom. The value obtained for the total DFT energy (no corrections) is -55.2 eV per formula unit.